Computed, not measured: a relaxed Ti3ZnN crystal at the PBE level of DFT.

a = 5.7205 Å, b = 5.7205 Å, c = 4.8999 Å
α = 90.00°, β = 90.00°, γ = 120.00°
Last column: nearest neighbours and their distance in Å.
Space group P6_3/mmc (No. 194)
Asymmetric unit:
Ti: 0.1674 0.3349 0.2500  2 N 2.06
Zn: 0.3333 0.6667 0.7500  12 Ti 2.86-2.95
N: 0.0000 0.0000 0.0000  6 Ti 2.06

crystal system: hexagonal
DFT total energy: -7.467 eV per atom
magnetic moment: 0.00 μB per cell
V: 13.89 A^3/atom
excess energy over the best structure of this formula in the dataset: 8.6 kJ/mol of atoms
formation energy without anion corrections: -0.810 eV/atom
calculated density: 5.3 g cm⁻³



Computed, not measured: a relaxed Pr3TmAg2 crystal at the PBE level of DFT.

a = 5.2809 Å, b = 9.4976 Å, c = 6.9777 Å
α = 90.00°, β = 90.00°, γ = 90.00°
Last column: nearest neighbours and their distance in Å.
Space group Pmc2_1 (No. 26)
Asymmetric unit:
Pr: 0.0000 0.0589 0.0000  3 Ag 3.13-3.23
Pr: 0.0000 0.3379 0.3418  4 Ag 3.00-3.23
Pr: 0.5000 0.1727 0.6667  4 Ag 3.07-3.23
Tm: 0.5000 0.4424 0.0153  3 Ag 3.05-3.21
Ag: 0.0000 0.3488 0.7859  5 Pr 3.00-3.23, 2 Tm 3.21
Ag: 0.5000 0.1608 0.2265  1 Tm 3.05, 6 Pr 3.07-3.23

crystal system: orthorhombic
DFT total energy: -4.233 eV per atom
magnetic moment: 0.00 μB per cell
V: 29.16 A^3/atom
formation enthalpy at 0 K: -0.1471 eV per atom
calculated density: 7.7 g cm⁻³